<1>
A plane-wave DFT calculation with PBE was carried out for a geometry-optimized SrAgSe structure.

Cell lengths 7.7114, 4.1812, 11.3131 Å; angles 90.00, 120.80, 90.00 degrees
With the nearest neighbours (Å) after each atom.
Sites, in units of the cell vectors:
Se 0.1992 0.5000 0.6787  3 Ag 2.85-3.07, 1 Sr 3.12
Ag 0.5646 0.5000 0.6391  1 Ag 2.77, 3 Se 2.85-3.07
Se 0.8008 0.0000 0.8213  3 Ag 2.85-3.07, 1 Sr 3.12
Ag 0.4354 0.0000 0.8609  1 Ag 2.77, 3 Se 2.85-3.07
Ag 0.4354 0.5000 0.3609  1 Ag 2.77, 3 Se 2.85-3.07
Sr 0.1888 0.0000 0.4505  5 Se 3.12-3.31, 4 Ag 3.31
Se 0.1992 0.0000 0.1787  3 Ag 2.85-3.07, 1 Sr 3.12
Ag 0.5646 0.0000 0.1391  1 Ag 2.77, 3 Se 2.85-3.07
Sr 0.8112 0.5000 0.0495  5 Se 3.12-3.31, 4 Ag 3.31
Se 0.8008 0.5000 0.3213  3 Ag 2.85-3.07, 1 Sr 3.12
Sr 0.8112 0.0000 0.5495  5 Se 3.12-3.31, 4 Ag 3.31
Sr 0.1888 0.5000 0.9505  5 Se 3.12-3.31, 4 Ag 3.31

Calculated density = 5.818 g/cm³


<2>
A plane-wave DFT calculation with PBE was carried out for a geometry-optimized SrAgSe structure.

Cell lengths 4.6870, 4.6870, 4.2216 Å; angles 90.00, 90.00, 120.00 degrees
With the nearest neighbours (Å) after each atom.
Sites, in units of the cell vectors:
Sr 0.3333 0.6667 0.6669  6 Se 3.43, 6 Ag 3.43
Ag 0.0000 0.0000 0.1670  3 Se 2.71
Se 0.6667 0.3333 0.1661  3 Ag 2.71

Calculated density = 5.674 g/cm³


<3>
A plane-wave DFT calculation with PBE was carried out for a geometry-optimized SrAgSe structure.

Cell lengths 7.4210, 4.3284, 12.4117 Å; angles 90.00, 121.16, 90.00 degrees
With the nearest neighbours (Å) after each atom.
Sites, in units of the cell vectors:
Sr 0.7265 0.0000 0.6336  4 Se 3.08-3.09
Ag 0.7732 0.5000 0.8643  2 Ag 2.81, 2 Se 2.83-2.87
Ag 0.7732 0.0000 0.3643  2 Ag 2.81, 2 Se 2.83-2.87
Se 0.0650 0.5000 0.7780  2 Ag 2.79-2.87, 4 Sr 3.05-3.09
Se 0.0650 0.0000 0.2780  2 Ag 2.79-2.87, 4 Sr 3.05-3.09
Ag 0.9695 0.0000 0.0290  2 Se 2.79-2.91, 2 Ag 2.81
Ag 0.9695 0.5000 0.5290  2 Se 2.79-2.91, 2 Ag 2.81
Sr 0.7265 0.5000 0.1336  4 Se 3.08-3.09
Sr 0.3569 0.5000 0.2814  4 Se 3.05-3.16
Sr 0.3569 0.0000 0.7814  4 Se 3.05-3.16
Se 0.4172 0.0000 0.1167  2 Ag 2.83-2.91, 4 Sr 3.08-3.16
Se 0.4172 0.5000 0.6167  2 Ag 2.83-2.91, 4 Sr 3.08-3.16

Calculated density = 5.343 g/cm³


<4>
A plane-wave DFT calculation with PBE was carried out for a geometry-optimized SrAgSe structure.

Cell lengths 5.0763, 5.0763, 5.0763 Å; angles 60.00, 60.00, 60.00 degrees
With the nearest neighbours (Å) after each atom.
Sites, in units of the cell vectors:
Sr 0.0000 0.0000 0.0000  4 Se 3.11
Ag 0.5000 0.5000 0.5000  4 Se 3.11
Se 0.2500 0.2500 0.2500  4 Sr 3.11, 4 Ag 3.11

Calculated density = 4.927 g/cm³


<1> is the most stable structure; the next one sits 38 meV per atom above it.